(1)
# GGA-PBE Pr2SiS4, optimized geometry
# energy relative to the elements, uncorrected: -1.3151 eV/atom
# final energy: -5.81 eV per atom
# ρ: 4.53 Mg/m³
data_Pr2SiS4
_symmetry_space_group_name_H-M 'P 1'
_symmetry_Int_Tables_number 1
_cell_length_a 5.9627
_cell_length_b 5.9627
_cell_length_c 5.9627
_cell_angle_alpha 113.72
_cell_angle_beta 113.72
_cell_angle_gamma 101.27
loop_
_symmetry_equiv_pos_as_xyz
'x,y,z'
loop_
_atom_site_label
_atom_site_fract_x
_atom_site_fract_y
_atom_site_fract_z
Pr1 0.2500 0.7500 0.5000
Pr2 0.7500 0.2500 0.5000
Si1 0.0000 0.0000 0.0000
S1 0.2475 0.2475 0.4950
S2 0.2475 0.7525 0.0000
S3 0.7525 0.2475 0.0000
S4 0.7525 0.7525 0.5050

***

(2)
# GGA-PBE Pr2SiS5, optimized geometry
# energy relative to the elements, uncorrected: -1.2807 eV/atom
# final energy: -5.73 eV per atom
# ρ: 4.16 Mg/m³
# distance to the lowest polymorph of the same formula: 281 meV per atom
data_Pr2SiS5
_symmetry_space_group_name_H-M 'P 1'
_symmetry_Int_Tables_number 1
_cell_length_a 6.3076
_cell_length_b 6.3076
_cell_length_c 6.3076
_cell_angle_alpha 115.40
_cell_angle_beta 115.40
_cell_angle_gamma 98.17
loop_
_symmetry_equiv_pos_as_xyz
'x,y,z'
loop_
_atom_site_label
_atom_site_fract_x
_atom_site_fract_y
_atom_site_fract_z
Pr1 0.0000 0.5000 0.5000
Pr2 0.5000 0.0000 0.5000
Si1 0.2357 0.2357 0.0000
S1 0.0669 0.0669 0.5428
S2 0.0669 0.5242 0.0000
S3 0.5242 0.0669 0.0000
S4 0.5242 0.5242 0.4572
S5 0.9839 0.9839 0.0000

***

> Which of these has the highest ρ?

Pr2SiS4